The following is a DFT calculation (GGA-PBE) of an optimized crystal structure of K2MgMo.

Spin magnetization, μB/atom: 1.10
Energy of formation from the pure elements, eV per atom: 1.283
SG: No. 122
Volume, Å³/cell: 309

Unit cell a=9.8515 b=9.8515 c=7.6590 alpha=49.97 beta=49.97 gamma=90.00
Closest atoms and distances in Å follow each position.
Fractional coordinates of all 8 atoms:
1 K 0.8750 0.8812 0.7500  2 K 3.19, 2 Mo 3.53
2 K 0.1188 0.6250 0.2500  2 K 3.19, 2 Mo 3.53
3 K 0.6312 0.1250 0.2500  2 K 3.19, 2 Mo 3.53
4 K 0.3750 0.3688 0.7500  2 K 3.19, 2 Mo 3.53
5 Mo 0.0000 0.0000 0.0000  2 Mg 3.18, 4 K 3.53
6 Mg 0.5000 0.5000 0.0000  2 Mo 3.18
7 Mg 0.2500 0.7500 0.5000  2 Mo 3.18
8 Mo 0.7500 0.2500 0.5000  2 Mg 3.18, 4 K 3.53